Y2GaPbO6: optimized geometry, PBE.

Unit cell a=5.3249 b=5.3249 c=5.3629 alpha=90.00 beta=90.00 gamma=90.00
Closest atoms and distances in Å follow each position.
Atoms (fractional coordinates):
Y (0.0000, 0.5000, 0.0000)  4 O 2.26
Y (0.5000, 0.0000, 0.0000)  4 O 2.26
Ga (0.0000, 0.0000, 0.6087)  5 O 1.86-1.98
Pb (0.5000, 0.5000, 0.5623)  5 O 2.22-2.26
O (0.0000, 0.0000, 0.2613)  1 Ga 1.86
O (0.2370, 0.2370, 0.7669)  1 Ga 1.98
O (0.2370, 0.7630, 0.7669)  1 Ga 1.98
O (0.5000, 0.5000, 0.1485)  1 Pb 2.22
O (0.7630, 0.2370, 0.7669)  1 Ga 1.98
O (0.7630, 0.7630, 0.7669)  1 Ga 1.98

Output
uncorrected energy = -71.4 eV per cell
spin magnetization = 0.000 μB per formula unit
raw formation energy = -2.198 eV/atom

***

Zn2GaPbO4: optimized geometry, PBE.

Unit cell a=5.1662 b=5.1662 c=8.7018 alpha=90.00 beta=90.00 gamma=90.00
Closest atoms and distances in Å follow each position.
Atoms (fractional coordinates):
Zn (0.0000, 0.5000, 0.2500)  4 O 2.09
Zn (0.0000, 0.5000, 0.7500)  4 O 2.09
Zn (0.5000, 0.0000, 0.2500)  4 O 2.09
Zn (0.5000, 0.0000, 0.7500)  4 O 2.09
Ga (0.0000, 0.0000, 0.0000)  4 O 1.91
Ga (0.5000, 0.5000, 0.5000)  4 O 1.91
Pb (0.0000, 0.0000, 0.5000)  4 O 2.51
Pb (0.5000, 0.5000, 0.0000)  4 O 2.51
O (0.1998, 0.1998, 0.8587)  1 Ga 1.91, 2 Zn 2.09
O (0.1998, 0.8002, 0.1413)  1 Ga 1.91, 2 Zn 2.09
O (0.3002, 0.3002, 0.3587)  1 Ga 1.91, 2 Zn 2.09
O (0.3002, 0.6998, 0.6413)  1 Ga 1.91, 2 Zn 2.09
O (0.6998, 0.3002, 0.6413)  1 Ga 1.91, 2 Zn 2.09
O (0.6998, 0.6998, 0.3587)  1 Ga 1.91, 2 Zn 2.09
O (0.8002, 0.1998, 0.1413)  1 Ga 1.91, 2 Zn 2.09
O (0.8002, 0.8002, 0.8587)  1 Ga 1.91, 2 Zn 2.09

Output
uncorrected energy = -77.8 eV per cell
spin magnetization = 0.000 μB per formula unit
raw formation energy = -1.220 eV/atom

***

ZnGaPbO4: optimized geometry, PBE.

Unit cell a=6.4000 b=6.4000 c=6.4000 alpha=120.76 beta=119.23 gamma=90.02
Closest atoms and distances in Å follow each position.
Atoms (fractional coordinates):
Zn (0.3666, 0.1166, 0.2500)  4 O 2.02-2.16
Zn (0.6334, 0.8834, 0.7500)  4 O 2.02-2.16
Ga (0.0000, 0.0000, 0.5000)  6 O 2.01-2.12
Ga (0.0000, 0.5000, 0.0000)  6 O 2.01-2.12
Pb (0.0000, 0.5000, 0.5000)  6 O 2.31-2.32
Pb (0.5000, 0.5000, 0.0000)  6 O 2.31-2.32
O (0.2134, 0.2444, 0.9690)  2 Ga 2.12, 1 Zn 2.16, 1 Pb 2.32
O (0.2219, 0.2139, 0.4920)  1 Ga 2.01, 1 Zn 2.02
O (0.2219, 0.7299, 0.0080)  1 Ga 2.01, 1 Zn 2.02
O (0.2246, 0.7556, 0.4690)  2 Ga 2.12, 1 Zn 2.16, 1 Pb 2.32
O (0.7754, 0.2444, 0.5310)  2 Ga 2.12, 1 Zn 2.16, 1 Pb 2.32
O (0.7781, 0.2701, 0.9920)  1 Ga 2.01, 1 Zn 2.02
O (0.7781, 0.7861, 0.5080)  1 Ga 2.01, 1 Zn 2.02
O (0.7866, 0.7556, 0.0310)  2 Ga 2.12, 1 Zn 2.16, 1 Pb 2.32

Output
uncorrected energy = -73.0 eV per cell
spin magnetization = 0.000 μB per formula unit
raw formation energy = -1.235 eV/atom

***

Zn2GaPbO6: optimized geometry, PBE.

Unit cell a=5.6357 b=5.6357 c=5.6357 alpha=56.25 beta=56.25 gamma=56.25
Closest atoms and distances in Å follow each position.
Atoms (fractional coordinates):
Zn (0.0000, 0.0000, 0.0000)  6 O 2.03-2.18
Zn (0.4911, 0.4911, 0.4911)  6 O 2.05-2.22
Ga (0.7057, 0.7057, 0.7057)  6 O 1.98-2.09
Pb (0.2116, 0.2116, 0.2116)  6 O 2.16-2.30
O (0.0887, 0.4165, 0.7923)  1 Ga 1.98, 2 Zn 2.05-2.18
O (0.3085, 0.8819, 0.6253)  2 Zn 2.03-2.22, 1 Ga 2.09, 1 Pb 2.16
O (0.4165, 0.7923, 0.0887)  1 Ga 1.98, 2 Zn 2.05-2.18
O (0.6253, 0.3085, 0.8819)  2 Zn 2.03-2.22, 1 Ga 2.09, 1 Pb 2.16
O (0.7923, 0.0887, 0.4165)  1 Ga 1.98, 2 Zn 2.05-2.18
O (0.8819, 0.6253, 0.3085)  2 Zn 2.03-2.22, 1 Ga 2.09, 1 Pb 2.16

Output
uncorrected energy = -50.5 eV per cell
spin magnetization = 1.054 μB per formula unit
raw formation energy = -1.148 eV/atom

***

GaPdO2: optimized geometry, PBE.

Unit cell a=2.7831 b=20.9498 c=3.1236 alpha=90.00 beta=90.00 gamma=90.00
Closest atoms and distances in Å follow each position.
Atoms (fractional coordinates):
Ga (0.0000, 0.1889, 0.2500)  7 O 2.02-2.15
Ga (0.0000, 0.8111, 0.7500)  7 O 2.02-2.15
Ga (0.5000, 0.3111, 0.7500)  7 O 2.02-2.15
Ga (0.5000, 0.6889, 0.2500)  7 O 2.02-2.15
Pd (0.0000, 0.4508, 0.2500)  2 O 2.14
Pd (0.0000, 0.5492, 0.7500)  2 O 2.14
Pd (0.5000, 0.0492, 0.7500)  2 O 2.14
Pd (0.5000, 0.9508, 0.2500)  2 O 2.14
O (0.0000, 0.2868, 0.2500)  5 Ga 2.05-2.15
O (0.0000, 0.3809, 0.7500)  2 Ga 2.02, 2 Pd 2.14
O (0.0000, 0.6191, 0.2500)  2 Ga 2.02, 2 Pd 2.14
O (0.0000, 0.7132, 0.7500)  5 Ga 2.05-2.15
O (0.5000, 0.1191, 0.2500)  2 Ga 2.02, 2 Pd 2.14
O (0.5000, 0.2132, 0.7500)  5 Ga 2.05-2.15
O (0.5000, 0.7868, 0.2500)  5 Ga 2.05-2.15
O (0.5000, 0.8809, 0.7500)  2 Ga 2.02, 2 Pd 2.14

Output
uncorrected energy = -86.4 eV per cell
spin magnetization = 0.000 μB per formula unit
raw formation energy = -0.867 eV/atom

***

GaPdO2: optimized geometry, PBE.

Unit cell a=2.9764 b=2.9764 c=18.4257 alpha=90.00 beta=90.00 gamma=120.00
Closest atoms and distances in Å follow each position.
Atoms (fractional coordinates):
Ga (0.0000, 0.0000, 0.0000)  6 O 2.00
Ga (0.3333, 0.6667, 0.6667)  6 O 2.00
Ga (0.6667, 0.3333, 0.3333)  6 O 2.00
Pd (0.0000, 0.0000, 0.5000)  2 O 2.05
Pd (0.3333, 0.6667, 0.1667)  2 O 2.05
Pd (0.6667, 0.3333, 0.8333)  2 O 2.05
O (0.0000, 0.0000, 0.3889)  3 Ga 2.00, 1 Pd 2.05
O (0.0000, 0.0000, 0.6111)  3 Ga 2.00, 1 Pd 2.05
O (0.3333, 0.6667, 0.0556)  3 Ga 2.00, 1 Pd 2.05
O (0.3333, 0.6667, 0.2777)  3 Ga 2.00, 1 Pd 2.05
O (0.6667, 0.3333, 0.7223)  3 Ga 2.00, 1 Pd 2.05
O (0.6667, 0.3333, 0.9444)  3 Ga 2.00, 1 Pd 2.05

Output
uncorrected energy = -69.2 eV per cell
spin magnetization = 0.000 μB per formula unit
raw formation energy = -1.231 eV/atom

***

GaPdO3: optimized geometry, PBE.

Unit cell a=3.9077 b=3.9077 c=3.9077 alpha=90.00 beta=90.00 gamma=90.00
Closest atoms and distances in Å follow each position.
Atoms (fractional coordinates):
Ga (0.0000, 0.0000, 0.0000)  12 O 2.76
Pd (0.5000, 0.5000, 0.5000)  6 O 1.95
O (0.0000, 0.5000, 0.5000)  2 Pd 1.95
O (0.5000, 0.0000, 0.5000)  2 Pd 1.95
O (0.5000, 0.5000, 0.0000)  2 Pd 1.95

Output
uncorrected energy = -23.6 eV per cell
spin magnetization = 0.000 μB per formula unit
raw formation energy = -0.098 eV/atom

***

GaPdO2: optimized geometry, PBE.

Unit cell a=6.3159 b=2.9130 c=10.9731 alpha=90.00 beta=90.00 gamma=90.00
Closest atoms and distances in Å follow each position.
Atoms (fractional coordinates):
Ga (0.0761, 0.2500, 0.1088)  5 O 1.90-2.02
Ga (0.4239, 0.7500, 0.6088)  5 O 1.90-2.02
Ga (0.5761, 0.2500, 0.3912)  5 O 1.90-2.02
Ga (0.9239, 0.7500, 0.8912)  5 O 1.90-2.02
Pd (0.0487, 0.7500, 0.3896)  2 O 2.05-2.07
Pd (0.4513, 0.2500, 0.8896)  2 O 2.05-2.07
Pd (0.5487, 0.7500, 0.1104)  2 O 2.05-2.07
Pd (0.9513, 0.2500, 0.6104)  2 O 2.05-2.07
O (0.1339, 0.2500, 0.9306)  3 Ga 1.99-2.02, 1 Pd 2.05
O (0.2385, 0.7500, 0.1701)  2 Ga 1.90, 1 Pd 2.07
O (0.2615, 0.2500, 0.6701)  2 Ga 1.90, 1 Pd 2.07
O (0.3661, 0.7500, 0.4306)  3 Ga 1.99-2.02, 1 Pd 2.05
O (0.6339, 0.2500, 0.5694)  3 Ga 1.99-2.02, 1 Pd 2.05
O (0.7385, 0.7500, 0.3299)  2 Ga 1.90, 1 Pd 2.07
O (0.7615, 0.2500, 0.8299)  2 Ga 1.90, 1 Pd 2.07
O (0.8661, 0.7500, 0.0694)  3 Ga 1.99-2.02, 1 Pd 2.05

Output
uncorrected energy = -89.3 eV per cell
spin magnetization = 0.000 μB per formula unit
raw formation energy = -1.048 eV/atom

***

GaPdO3: optimized geometry, PBE.

Unit cell a=3.8131 b=3.8131 c=3.8131 alpha=90.00 beta=90.00 gamma=90.00
Closest atoms and distances in Å follow each position.
Atoms (fractional coordinates):
Ga (0.0000, 0.0000, 0.0000)  6 O 1.91
Pd (0.5000, 0.5000, 0.5000)  12 O 2.70
O (0.0000, 0.0000, 0.5000)  2 Ga 1.91
O (0.0000, 0.5000, 0.0000)  2 Ga 1.91
O (0.5000, 0.0000, 0.0000)  2 Ga 1.91

Output
uncorrected energy = -25.0 eV per cell
spin magnetization = 3.000 μB per formula unit
raw formation energy = -0.372 eV/atom

***

GaPdO2: optimized geometry, PBE.

Unit cell a=3.1943 b=3.1943 c=18.1342 alpha=90.00 beta=90.00 gamma=120.00
Closest atoms and distances in Å follow each position.
Atoms (fractional coordinates):
Ga (0.0000, 0.0000, 0.0000)  2 O 1.98
Ga (0.3333, 0.6667, 0.6667)  2 O 1.98
Ga (0.6667, 0.3333, 0.3333)  2 O 1.98
Pd (0.0000, 0.0000, 0.5000)  6 O 2.12
Pd (0.3333, 0.6667, 0.1667)  6 O 2.12
Pd (0.6667, 0.3333, 0.8333)  6 O 2.12
O (0.0000, 0.0000, 0.1089)  1 Ga 1.98, 3 Pd 2.12
O (0.0000, 0.0000, 0.8911)  1 Ga 1.98, 3 Pd 2.12
O (0.3333, 0.6667, 0.5577)  1 Ga 1.98, 3 Pd 2.12
O (0.3333, 0.6667, 0.7756)  1 Ga 1.98, 3 Pd 2.12
O (0.6667, 0.3333, 0.2244)  1 Ga 1.98, 3 Pd 2.12
O (0.6667, 0.3333, 0.4423)  1 Ga 1.98, 3 Pd 2.12

Output
uncorrected energy = -59.6 eV per cell
spin magnetization = 0.000 μB per formula unit
raw formation energy = -0.430 eV/atom

***

GaPdO2: optimized geometry, PBE.

Unit cell a=3.2533 b=3.2533 c=4.4174 alpha=90.00 beta=90.00 gamma=90.00
Closest atoms and distances in Å follow each position.
Atoms (fractional coordinates):
Ga (0.0000, 0.0000, 0.0000)  6 O 2.21-2.30
Pd (0.5000, 0.5000, 0.5000)  6 O 2.21-2.30
O (0.0000, 0.0000, 0.5000)  2 Ga 2.21, 4 Pd 2.30
O (0.5000, 0.5000, 0.0000)  2 Pd 2.21, 4 Ga 2.30

Output
uncorrected energy = -20.3 eV per cell
spin magnetization = 0.000 μB per formula unit
raw formation energy = -0.546 eV/atom

***

GaPdO2: optimized geometry, PBE.

Unit cell a=5.3435 b=6.9737 c=5.8048 alpha=90.00 beta=90.00 gamma=90.00
Closest atoms and distances in Å follow each position.
Atoms (fractional coordinates):
Ga (0.0882, 0.1201, 0.0000)  4 O 1.88-1.91
Ga (0.4118, 0.6201, 0.5000)  4 O 1.88-1.91
Ga (0.5882, 0.3799, 0.0000)  4 O 1.88-1.91
Ga (0.9118, 0.8799, 0.5000)  4 O 1.88-1.91
Pd (0.0342, 0.7174, 0.9172)  2 O 2.08-2.12
Pd (0.4658, 0.2174, 0.4172)  2 O 2.08-2.12
Pd (0.5342, 0.7826, 0.9172)  2 O 2.08-2.12
Pd (0.9658, 0.2826, 0.4172)  2 O 2.08-2.12
O (0.0197, 0.0900, 0.6853)  2 Ga 1.88-1.91, 1 Pd 2.08
O (0.0681, 0.6389, 0.5656)  2 Ga 1.88-1.91
O (0.4319, 0.1389, 0.0656)  2 Ga 1.88-1.91
O (0.4803, 0.5900, 0.1853)  2 Ga 1.88-1.91, 1 Pd 2.08
O (0.5197, 0.4100, 0.6853)  2 Ga 1.88-1.91, 1 Pd 2.08
O (0.5681, 0.8611, 0.5656)  2 Ga 1.88-1.91
O (0.9319, 0.3611, 0.0656)  2 Ga 1.88-1.91
O (0.9803, 0.9100, 0.1853)  2 Ga 1.88-1.91, 1 Pd 2.08

Output
uncorrected energy = -87.6 eV per cell
spin magnetization = 0.000 μB per formula unit
raw formation energy = -0.943 eV/atom